Here is a relaxed structure of YMnNi4 from Alexandria. Energies are from GGA-PBE. Values from VASP.

Computed properties:
energy of formation = -0.267 eV/atom
SG = F-43m

```
&SYSTEM
  ibrav = 0, nat = 6, ntyp = 3
/
ATOMIC_SPECIES
Ni 58.69 Ni.upf
Mn 54.94 Mn.upf
Y 88.91 Y.upf
CELL_PARAMETERS angstrom
-1.5491 2.8366 -3.6951
2.3264 -0.1110 -4.3216
-2.1740 -2.0281 -3.9065
ATOMIC_POSITIONS crystal
Ni 0.6239 0.1282 0.6239
Ni 0.6239 0.6239 0.1282
Ni 0.1282 0.6239 0.6239
Ni 0.6239 0.6239 0.6239
Mn 0.2500 0.2500 0.2500
Y 0.0000 0.0000 0.0000
```


Here is a relaxed structure of YMn2Ni from Alexandria. Energies are from GGA-PBE. Values from VASP.

Computed properties:
energy of formation = 0.388 eV/atom
SG = C2/m

```
&SYSTEM
  ibrav = 0, nat = 4, ntyp = 3
/
ATOMIC_SPECIES
Mn 54.94 Mn.upf
Ni 58.69 Ni.upf
Y 88.91 Y.upf
CELL_PARAMETERS angstrom
4.7666 0.0026 0.0081
-2.2673 4.9387 -0.0134
0.2321 0.9044 2.8398
ATOMIC_POSITIONS crystal
Mn 0.5000 0.0000 0.5000
Mn 0.0000 0.0000 0.0000
Ni 0.0000 0.5000 0.5000
Y 0.5000 0.5000 0.0000
```


Here is a relaxed structure of YMn2Ni2 from Alexandria. Energies are from GGA-PBE. Values from VASP.

Computed properties:
energy of formation = 0.039 eV/atom
SG = P4/mbm

```
&SYSTEM
  ibrav = 0, nat = 10, ntyp = 3
/
ATOMIC_SPECIES
Ni 58.69 Ni.upf
Mn 54.94 Mn.upf
Y 88.91 Y.upf
CELL_PARAMETERS angstrom
7.2116 0.0000 0.0000
0.0000 7.2116 0.0000
0.0000 0.0000 2.9634
ATOMIC_POSITIONS crystal
Ni 0.8664 0.6336 0.0000
Ni 0.3664 0.8664 0.0000
Ni 0.1336 0.3664 0.0000
Ni 0.6336 0.1336 0.0000
Mn 0.8486 0.3486 0.5000
Mn 0.6514 0.8486 0.5000
Mn 0.3486 0.1514 0.5000
Mn 0.1514 0.6514 0.5000
Y 0.0000 0.0000 0.0000
Y 0.5000 0.5000 0.0000
```


Here is a relaxed structure of YMn2Ni9 from Alexandria. Energies are from GGA-PBE. Values from VASP.

Computed properties:
energy of formation = -0.180 eV/atom
SG = P4/mbm

```
&SYSTEM
  ibrav = 0, nat = 24, ntyp = 3
/
ATOMIC_SPECIES
Ni 58.69 Ni.upf
Mn 54.94 Mn.upf
Y 88.91 Y.upf
CELL_PARAMETERS angstrom
-4.3002 1.6325 1.0781
-2.7739 -2.6052 -7.1192
-1.8655 -7.1131 3.3299
ATOMIC_POSITIONS crystal
Ni 0.5000 0.7892 0.0634
Ni 0.7573 0.3216 0.1784
Ni 0.2427 0.1784 0.6784
Ni 0.7573 0.8216 0.3216
Ni 0.5000 0.5634 0.2892
Ni 0.5000 0.9366 0.7892
Ni 0.5000 0.2892 0.4366
Ni 0.5000 0.0000 0.5000
Ni 0.2427 0.3216 0.1784
Ni 0.2427 0.8216 0.3216
Ni 0.5000 0.4366 0.7108
Ni 0.5000 0.0634 0.2108
Ni 0.5000 0.2108 0.9366
Ni 0.5000 0.5000 0.0000
Ni 0.7573 0.1784 0.6784
Ni 0.5000 0.7108 0.5634
Ni 0.7573 0.6784 0.8216
Ni 0.2427 0.6784 0.8216
Mn 0.0000 0.6186 0.1186
Mn 0.0000 0.1186 0.3814
Mn 0.0000 0.8814 0.6186
Mn 0.0000 0.3814 0.8814
Y 0.0000 0.0000 0.0000
Y 0.0000 0.5000 0.5000
```